1.
Compound: LaSn3Pt
Source: the Alexandria database
Functional: PBE
Structure: relaxed

Computed properties:
Calculated formation energy = -687 meV/atom
N(E_F) = 0.34 states/eV per atom
Space group = Cmmm, No. 65

Lattice parameters (Å, degrees): 4.561 4.649 12.682 100.56 90.00 90.00
Fractional coordinates of all 10 atoms:
La (0.500, 0.833, 0.666)
La (0.500, 0.167, 0.334)
Sn (0.000, 0.058, 0.116)
Sn (0.000, 0.942, 0.884)
Sn (0.000, 0.282, 0.563)
Sn (0.000, 0.718, 0.437)
Sn (0.500, 0.442, 0.885)
Sn (0.500, 0.558, 0.115)
Pt (0.000, 0.614, 0.229)
Pt (0.000, 0.386, 0.771)



2.
Compound: SrAgSnCl5
Source: the Alexandria database
Functional: PBE
Structure: relaxed

Computed properties:
N(E_F) = 0.00 states/eV per atom
Space group = C2/c, No. 15
Formation energy (no corrections) = -130.2 kJ/mol of atoms

Lattice parameters (Å, degrees): 7.739 7.739 10.153 105.21 105.21 107.22
Fractional coordinates of all 16 atoms:
Sr (0.000, 0.000, 0.500)
Sr (0.000, 0.000, 0.000)
Ag (0.685, 0.315, 0.250)
Ag (0.315, 0.685, 0.750)
Sn (0.365, 0.635, 0.250)
Sn (0.635, 0.365, 0.750)
Cl (0.117, 0.883, 0.250)
Cl (0.883, 0.117, 0.750)
Cl (0.991, 0.350, 0.187)
Cl (0.009, 0.650, 0.813)
Cl (0.650, 0.009, 0.313)
Cl (0.350, 0.991, 0.687)
Cl (0.684, 0.624, 0.438)
Cl (0.316, 0.376, 0.562)
Cl (0.376, 0.316, 0.062)
Cl (0.624, 0.684, 0.938)



Number 2 is which compound?
SrAgSnCl5



Which value of N(E_F) does entry 1 give?
0.34 states/eV per atom